The following is a PBE with a Hubbard U calculation of an optimized crystal structure of Ca2Mn2ZnO6, from Alexandria.

a b c (Å): 5.3892 5.3892 5.5415
angles (deg): 98.43 98.43 122.26
Last column: nearest neighbours and their distance in Å.
Sites, in units of the cell vectors:
Ca  0.8390  0.1610  0.0000  6 O 2.32-2.37
Ca  0.1610  0.8390  0.0000  6 O 2.32-2.37
Mn  0.3367  0.6633  0.5000  6 O 2.02-2.06
Mn  0.6633  0.3367  0.5000  6 O 2.02-2.06
Zn  0.0000  0.0000  0.5000  6 O 2.06-2.22
O  0.7274  0.7274  0.7033  2 Mn 2.06, 1 Zn 2.06
O  0.0580  0.4209  0.7051  2 Mn 2.02-2.03, 1 Zn 2.22
O  0.2726  0.2726  0.2967  2 Mn 2.06, 1 Zn 2.06
O  0.4209  0.0580  0.7051  2 Mn 2.02-2.03, 1 Zn 2.22
O  0.9420  0.5791  0.2949  2 Mn 2.02-2.03, 1 Zn 2.22
O  0.5791  0.9420  0.2949  2 Mn 2.02-2.03, 1 Zn 2.22

Results
Crystal system = monoclinic
Mass density = 4.500 Mg/m³
Raw total energy = -6.3453 eV/atom